(1)
Below is LaYLuAl after structural relaxation, with properties calculated at the GGA-PBE level.

POSCAR file:
```
LaYLuAl
1.0
-2.087 4.785 -1.441
-3.804 2.330 3.070
1.178 4.441 2.866
Y Lu Al La
1 1 1 1
direct
0.750 0.750 0.750
0.000 0.000 0.000
0.500 0.500 0.500
0.250 0.250 0.250
```

E_form ... -91 meV/atom
Magnetization ... 0.7 Bohr magnetons per cell

---

(2)
Below is LaLuAlZn after structural relaxation, with properties calculated at the GGA-PBE level.

POSCAR file:
```
LaLuAlZn
1.0
-1.776 0.878 -4.789
-4.760 -1.564 -1.325
-3.752 3.490 -0.773
Zn Lu Al La
1 1 1 1
direct
0.000 0.000 0.000
0.250 0.250 0.250
0.500 0.500 0.500
0.750 0.750 0.750
```

E_form ... -334 meV/atom
Magnetization ... 0.0 Bohr magnetons per cell

---

(3)
Below is La2Mg15Al2 after structural relaxation, with properties calculated at the GGA-PBE level.

POSCAR file:
```
La2Mg15Al2
1.0
7.689 -0.005 1.000
0.878 7.638 1.000
-0.006 -0.005 7.753
La Mg Al
2 15 2
direct
0.322 0.322 0.322
0.678 0.678 0.678
0.500 0.000 0.000
0.000 0.000 0.500
0.000 0.500 0.000
0.000 0.701 0.299
0.701 0.299 0.000
0.299 0.000 0.701
0.299 0.701 0.000
0.701 0.000 0.299
0.000 0.299 0.701
0.158 0.651 0.651
0.651 0.651 0.158
0.651 0.158 0.651
0.842 0.349 0.349
0.349 0.349 0.842
0.349 0.842 0.349
0.093 0.093 0.093
0.907 0.907 0.907
```

E_form ... -76 meV/atom
Magnetization ... 0.0 Bohr magnetons per cell